# CsCuGe | the Open Quantum Materials Database | PBE | optimized geometry
data_CsCuGe
_space_group_name_H-M_alt 'F -4 3 m'
_space_group_IT_number 216
_space_group_name_Hall 'F -4 2 3'
_cell_length_a 7.2658
_cell_length_b 7.2658
_cell_length_c 7.2658
_cell_angle_alpha 90.00
_cell_angle_beta 90.00
_cell_angle_gamma 90.00
loop_
_atom_site_label
_atom_site_type_symbol
_atom_site_fract_x
_atom_site_fract_y
_atom_site_fract_z
Cs1 Cs 0.0000 0.0000 0.0000
Cu1 Cu 0.2500 0.2500 0.2500
Ge1 Ge 0.0000 0.0000 0.5000
# V ... 384 Å³/cell
# Crystal system ... cubic
# Excess energy over the best structure of this formula in the dataset ... 0.00 eV per formula unit
# Density ... 4.66 Mg/m³
# E_tot ... -2.246 eV/atom



# CsCuGe | the Open Quantum Materials Database | PBE | optimized geometry
data_CsCuGe
_space_group_name_H-M_alt 'F -4 3 m'
_space_group_IT_number 216
_space_group_name_Hall 'F -4 2 3'
_cell_length_a 7.8200
_cell_length_b 7.8200
_cell_length_c 7.8200
_cell_angle_alpha 90.00
_cell_angle_beta 90.00
_cell_angle_gamma 90.00
loop_
_atom_site_label
_atom_site_type_symbol
_atom_site_fract_x
_atom_site_fract_y
_atom_site_fract_z
Cs1 Cs 0.0000 0.0000 0.0000
Cu1 Cu 0.2500 0.2500 0.7500
Ge1 Ge 0.2500 0.2500 0.2500
# V ... 478 Å³/cell
# Crystal system ... cubic
# Excess energy over the best structure of this formula in the dataset ... 1.58 eV per formula unit
# Density ... 3.74 Mg/m³
# E_tot ... -1.721 eV/atom



# Cs2CuGeI6 | the Open Quantum Materials Database | PBE | optimized geometry
data_Cs2CuGeI6
_space_group_name_H-M_alt 'P -3 1 c'
_space_group_IT_number 163
_space_group_name_Hall '-P 3 2c'
_cell_length_a 7.9731
_cell_length_b 7.9731
_cell_length_c 15.7143
_cell_angle_alpha 90.00
_cell_angle_beta 90.00
_cell_angle_gamma 120.00
loop_
_atom_site_label
_atom_site_type_symbol
_atom_site_fract_x
_atom_site_fract_y
_atom_site_fract_z
Cs1 Cs 0.3333 0.6667 0.0848
Cu1 Cu 0.3333 0.6667 0.7500
Ge1 Ge 0.0000 0.0000 0.2500
I1 I 0.1713 0.3442 0.8712
# V ... 865 Å³/cell
# Crystal system ... trigonal
# Density ... 4.47 Mg/m³
# E_tot ... -2.566 eV/atom



# CsCu3GeS4 | the Open Quantum Materials Database | PBE | optimized geometry
data_CsCu3GeS4
_space_group_name_H-M_alt 'P 1 21/m 1'
_space_group_IT_number 11
_space_group_name_Hall '-P 2yb'
_cell_length_a 5.6596
_cell_length_b 7.5473
_cell_length_c 10.0524
_cell_angle_alpha 90.00
_cell_angle_beta 104.58
_cell_angle_gamma 90.00
loop_
_atom_site_label
_atom_site_type_symbol
_atom_site_fract_x
_atom_site_fract_y
_atom_site_fract_z
Cs1 Cs 0.2069 0.2500 0.3668
Cu1 Cu 0.2919 0.5661 0.0215
Cu2 Cu 0.4127 0.7500 0.2448
Ge1 Ge 0.1335 0.2500 0.7904
S1 S 0.0382 0.2500 0.9992
S2 S 0.1761 0.7500 0.3929
S3 S 0.3672 0.5007 0.8001
# V ... 416 Å³/cell
# Crystal system ... monoclinic
# Excess energy over the best structure of this formula in the dataset ... 0.00 eV per formula unit
# Density ... 4.19 Mg/m³
# E_tot ... -4.155 eV/atom



# CsCu3GeS4 | the Open Quantum Materials Database | PBE | optimized geometry
data_CsCu3GeS4
_space_group_name_H-M_alt 'P -4 3 m'
_space_group_IT_number 215
_space_group_name_Hall 'P -4 2 3'
_cell_length_a 6.0973
_cell_length_b 6.0973
_cell_length_c 6.0973
_cell_angle_alpha 90.00
_cell_angle_beta 90.00
_cell_angle_gamma 90.00
loop_
_atom_site_label
_atom_site_type_symbol
_atom_site_fract_x
_atom_site_fract_y
_atom_site_fract_z
Cs1 Cs 0.0000 0.0000 0.0000
Cu1 Cu 0.0000 0.5000 0.5000
Ge1 Ge 0.5000 0.5000 0.5000
S1 S 0.2924 0.2924 0.2924
# V ... 227 Å³/cell
# Crystal system ... cubic
# Excess energy over the best structure of this formula in the dataset ... 1.63 eV per formula unit
# Density ... 3.84 Mg/m³
# E_tot ... -3.974 eV/atom



# CsCuGeSeS2 | the Open Quantum Materials Database | PBE | optimized geometry
data_CsCuGeSeS2
_space_group_name_H-M_alt 'C m c m'
_space_group_IT_number 63
_space_group_name_Hall '-C 2c 2'
_cell_length_a 3.6681
_cell_length_b 16.0347
_cell_length_c 10.3886
_cell_angle_alpha 90.00
_cell_angle_beta 90.00
_cell_angle_gamma 90.00
loop_
_atom_site_label
_atom_site_type_symbol
_atom_site_fract_x
_atom_site_fract_y
_atom_site_fract_z
Cs1 Cs 0.0000 0.2487 0.2500
Cu1 Cu 0.0000 0.0482 0.7500
Ge1 Ge 0.0000 0.5000 0.0000
Se1 Se 0.0000 0.4471 0.7500
S1 S 0.0000 0.1041 0.5500
# V ... 611 Å³/cell
# Crystal system ... orthorhombic
# Density ... 4.48 Mg/m³
# E_tot ... -3.919 eV/atom



# CsCuGeTeS2 | the Open Quantum Materials Database | PBE | optimized geometry
data_CsCuGeTeS2
_space_group_name_H-M_alt 'C m c m'
_space_group_IT_number 63
_space_group_name_Hall '-C 2c 2'
_cell_length_a 3.6529
_cell_length_b 16.8216
_cell_length_c 10.7977
_cell_angle_alpha 90.00
_cell_angle_beta 90.00
_cell_angle_gamma 90.00
loop_
_atom_site_label
_atom_site_type_symbol
_atom_site_fract_x
_atom_site_fract_y
_atom_site_fract_z
Cs1 Cs 0.0000 0.2393 0.2500
Cu1 Cu 0.0000 0.4452 0.7500
Ge1 Ge 0.0000 0.0000 0.0000
Te1 Te 0.0000 0.0609 0.7500
S1 S 0.0000 0.3999 0.5553
# V ... 663 Å³/cell
# Crystal system ... orthorhombic
# Density ... 4.61 Mg/m³
# E_tot ... -3.808 eV/atom



# CsCuGeTe2Se | the Open Quantum Materials Database | PBE | optimized geometry
data_CsCuGeTe2Se
_space_group_name_H-M_alt 'C m c m'
_space_group_IT_number 63
_space_group_name_Hall '-C 2c 2'
_cell_length_a 3.8793
_cell_length_b 17.1496
_cell_length_c 11.2010
_cell_angle_alpha 90.00
_cell_angle_beta 90.00
_cell_angle_gamma 90.00
loop_
_atom_site_label
_atom_site_type_symbol
_atom_site_fract_x
_atom_site_fract_y
_atom_site_fract_z
Cs1 Cs 0.0000 0.2268 0.2500
Cu1 Cu 0.0000 0.0407 0.7500
Ge1 Ge 0.0000 0.5000 0.0000
Te1 Te 0.0000 0.1175 0.5498
Se1 Se 0.0000 0.4562 0.7500
# V ... 745 Å³/cell
# Crystal system ... orthorhombic
# Density ... 5.38 Mg/m³
# E_tot ... -3.470 eV/atom



# CsCuGeTeSe2 | the Open Quantum Materials Database | PBE | optimized geometry
data_CsCuGeTeSe2
_space_group_name_H-M_alt 'C m c m'
_space_group_IT_number 63
_space_group_name_Hall '-C 2c 2'
_cell_length_a 3.8015
_cell_length_b 16.9998
_cell_length_c 11.0656
_cell_angle_alpha 90.00
_cell_angle_beta 90.00
_cell_angle_gamma 90.00
loop_
_atom_site_label
_atom_site_type_symbol
_atom_site_fract_x
_atom_site_fract_y
_atom_site_fract_z
Cs1 Cs 0.0000 0.2445 0.2500
Cu1 Cu 0.0000 0.4496 0.7500
Ge1 Ge 0.0000 0.0000 0.0000
Te1 Te 0.0000 0.0565 0.7500
Se1 Se 0.0000 0.3934 0.5518
# V ... 715 Å³/cell
# Crystal system ... orthorhombic
# Density ... 5.15 Mg/m³
# E_tot ... -3.592 eV/atom



What did the ninth record say?
# CsCuGeTeSe2 | the Open Quantum Materials Database | PBE | optimized geometry
data_CsCuGeTeSe2
_space_group_name_H-M_alt 'C m c m'
_space_group_IT_number 63
_space_group_name_Hall '-C 2c 2'
_cell_length_a 3.8015
_cell_length_b 16.9998
_cell_length_c 11.0656
_cell_angle_alpha 90.00
_cell_angle_beta 90.00
_cell_angle_gamma 90.00
loop_
_atom_site_label
_atom_site_type_symbol
_atom_site_fract_x
_atom_site_fract_y
_atom_site_fract_z
Cs1 Cs 0.0000 0.2445 0.2500
Cu1 Cu 0.0000 0.4496 0.7500
Ge1 Ge 0.0000 0.0000 0.0000
Te1 Te 0.0000 0.0565 0.7500
Se1 Se 0.0000 0.3934 0.5518
# V ... 715 Å³/cell
# Crystal system ... orthorhombic
# Density ... 5.15 Mg/m³
# E_tot ... -3.592 eV/atom